Ag2HgTe: relaxed, GGA-PBE.

Output
E_form (uncorrected) ... 0.057 eV per atom
Volume ... 24.31 Å³ per atom
Density ... 9.287 g/cm3
DOS(E_F) ... 1.05 states/eV/cell
ΔE to the lowest computed polymorph ... 5 kJ/mol of formula units

```
Ag2HgTe
1.0
4.100 0.000 0.000
0.000 4.100 0.000
0.000 0.000 5.786
Te Hg Ag
1 1 2
Direct
0.500 0.500 0.818
0.000 0.000 0.435
0.000 0.000 0.943
0.500 0.500 0.304
```